Entry 1:
Density functional theory data (GGA-PBE) for a geometry-optimized BaPaS2 structure.

Cell lengths 3.552, 3.552, 7.412 Å; angles 90.00, 90.00, 90.00 degrees
Site moments in Bohr magnetons follow the coordinates.
Atoms (fractional coordinates):
S: 0.000 0.000 0.786  -0.03
S: 0.000 0.000 0.214  -0.03
Pa: 0.500 0.500 0.000  1.25
Ba: 0.500 0.500 0.500  0.05

- N(E_F) (states/eV/atom) = 1.273
- raw formation energy (eV/atom) = -1.407
- total moment (Bohr magnetons per cell) = 1.53
- E (eV per atom) = -6.325
- energy above the lowest structure with this stoichiometry (eV/atom) = 0.255

---

Entry 2:
Density functional theory data (GGA-PBE) for a geometry-optimized BaThO3 structure.

Cell lengths 4.599, 4.599, 4.599 Å; angles 90.00, 90.00, 90.00 degrees
Atoms (fractional coordinates):
O: 0.000 0.500 0.000
O: 0.000 0.000 0.500
O: 0.500 0.000 0.000
Ba: 0.500 0.500 0.500
Th: 0.000 0.000 0.000

- N(E_F) (states/eV/atom) = 0.000
- raw formation energy (eV/atom) = -3.270
- total moment (Bohr magnetons per cell) = 0.00
- E (eV per atom) = -8.114

---

Entry 3:
Density functional theory data (GGA-PBE) for a geometry-optimized La2In3Ge2 structure.

Cell lengths 4.511, 6.040, 7.299 Å; angles 99.58, 90.00, 111.93 degrees
Atoms (fractional coordinates):
La: 0.620 0.240 0.326
La: 0.380 0.760 0.674
In: 0.306 0.611 0.140
In: 0.000 0.000 0.000
In: 0.694 0.389 0.860
Ge: 0.095 0.189 0.622
Ge: 0.905 0.811 0.378

- N(E_F) (states/eV/atom) = 0.457
- formation energy from the elements (eV/f.u.) = -3.9
- total moment (Bohr magnetons per cell) = 0.00
- E (eV per atom) = -4.462